NdTmCoCu: relaxed, PBE-GGA. Values from VASP.

Cell and atoms, written as Quantum ESPRESSO input:
```
&SYSTEM
  ibrav = 0, nat = 4, ntyp = 4
/
ATOMIC_SPECIES
Nd 144.24 Nd.upf
Tm 168.93 Tm.upf
Co 58.93 Co.upf
Cu 63.55 Cu.upf
CELL_PARAMETERS angstrom
0.000 3.440 3.440
3.440 0.000 3.440
3.440 3.440 0.000
ATOMIC_POSITIONS crystal
Nd 0.000 0.000 0.000
Tm 0.500 0.500 0.500
Co 0.250 0.250 0.250
Cu 0.750 0.750 0.750
```

Results
- crystal system = cubic
- spin magnetization (μB/atom) = 0.10
- formation enthalpy at 0 K (eV/f.u.) = -0.517